Record 1
Crystalline Hf2ZrCl at its relaxed geometry. Source: Alexandria, functional GGA-PBE.

Values from the calculation:
Spin magnetization: 0.0 μB per cell
Symmetry: No. 122
Offset from the most stable computed form: 0 meV/atom
Energy relative to the elements, uncorrected: 349 meV per atom
DOS(E_F): 1.486 states/eV per atom

Cell and atoms, written as extended XYZ:
```
8
Lattice="-2.0254 2.0254 10.7256 2.0254 -2.0254 10.7256 2.0254 2.0254 -10.7256" Properties=species:S:1:pos:R:3 pbc="T T T"
Hf 3.0381 0.9991 -2.6814
Hf 0.9991 1.0127 2.6814
Hf -1.0127 1.0262 8.0442
Hf 1.0262 1.0127 13.4070
Zr 0.0000 0.0000 0.0000
Zr 0.0000 2.0254 5.3628
Cl 2.0254 0.0000 5.3628
Cl 0.0000 0.0000 10.7256
```

=====

Record 2
Crystalline HfZrCl3 at its relaxed geometry. Source: Alexandria, functional GGA-PBE.

Values from the calculation:
Spin magnetization: 1.7 μB per cell
Symmetry: No. 221
Offset from the most stable computed form: 80 meV/atom
Energy relative to the elements, uncorrected: -96 meV per atom
DOS(E_F): 1.456 states/eV per atom

Cell and atoms, written as extended XYZ:
```
5
Lattice="5.0872 0.0000 0.0000 0.0000 5.0872 0.0000 0.0000 0.0000 5.0872" Properties=species:S:1:pos:R:3 pbc="T T T"
Hf 0.0000 0.0000 0.0000
Zr 2.5436 2.5436 2.5436
Cl 0.0000 2.5436 2.5436
Cl 2.5436 0.0000 2.5436
Cl 2.5436 2.5436 0.0000
```

=====

Record 3
Crystalline HfZr2Cl at its relaxed geometry. Source: Alexandria, functional GGA-PBE.

Values from the calculation:
Spin magnetization: 0.0 μB per cell
Symmetry: No. 122
Offset from the most stable computed form: 0 meV/atom
Energy relative to the elements, uncorrected: 349 meV per atom
DOS(E_F): 1.376 states/eV per atom

Cell and atoms, written as extended XYZ:
```
8
Lattice="-2.0506 2.0506 10.4980 2.0506 -2.0506 10.4980 2.0506 2.0506 -10.4980" Properties=species:S:1:pos:R:3 pbc="T T T"
Hf 0.0000 0.0000 0.0000
Hf 0.0000 2.0506 5.2490
Zr 1.0253 -1.0070 7.8735
Zr 1.0437 1.0253 2.6245
Zr 1.0253 3.0576 -2.6245
Zr 1.0070 1.0253 13.1225
Cl 2.0506 0.0000 5.2490
Cl 0.0000 0.0000 10.4980
```

=====

Record 4
Crystalline HfZr2Cl at its relaxed geometry. Source: Alexandria, functional GGA-PBE.

Values from the calculation:
Spin magnetization: 0.0 μB per cell
Symmetry: No. 225
Offset from the most stable computed form: 82 meV/atom
Energy relative to the elements, uncorrected: 431 meV per atom
DOS(E_F): 1.654 states/eV per atom

Cell and atoms, written as extended XYZ:
```
4
Lattice="0.0000 3.5056 3.5056 3.5056 0.0000 3.5056 3.5056 3.5056 0.0000" Properties=species:S:1:pos:R:3 pbc="T T T"
Hf 0.0000 0.0000 0.0000
Zr 1.7528 1.7528 1.7528
Zr 5.2584 5.2584 5.2584
Cl 3.5056 3.5056 3.5056
```

=====

Record 5
Crystalline HfZr3Cl at its relaxed geometry. Source: Alexandria, functional GGA-PBE.

Values from the calculation:
Spin magnetization: 0.0 μB per cell
Symmetry: No. 221
Energy relative to the elements, uncorrected: -81 meV per atom
DOS(E_F): 0.644 states/eV per atom

Cell and atoms, written as extended XYZ:
```
5
Lattice="4.8279 0.0000 0.0000 0.0000 4.8279 0.0000 0.0000 0.0000 4.8279" Properties=species:S:1:pos:R:3 pbc="T T T"
Hf 0.0000 0.0000 0.0000
Zr 0.0000 2.4140 2.4140
Zr 2.4140 0.0000 2.4140
Zr 2.4140 2.4140 0.0000
Cl 2.4140 2.4140 2.4140
```

=====

Record 6
Crystalline HgCl at its relaxed geometry. Source: Alexandria, functional GGA-PBE.

Values from the calculation:
Spin magnetization: 0.0 μB per cell
Symmetry: No. 221
Offset from the most stable computed form: 475 meV/atom
Energy relative to the elements, uncorrected: -67 meV per atom
DOS(E_F): 0.927 states/eV per atom

Cell and atoms, written as extended XYZ:
```
2
Lattice="3.6563 0.0000 0.0000 0.0000 3.6563 0.0000 0.0000 0.0000 3.6563" Properties=species:S:1:pos:R:3 pbc="T T T"
Hg 0.0000 0.0000 0.0000
Cl 1.8282 1.8282 1.8282
```

=====

Record 7
Crystalline Hg3Cl at its relaxed geometry. Source: Alexandria, functional GGA-PBE.

Values from the calculation:
Spin magnetization: 0.0 μB per cell
Symmetry: No. 65
Offset from the most stable computed form: 80 meV/atom
Energy relative to the elements, uncorrected: -134 meV per atom
DOS(E_F): 0.517 states/eV per atom

Cell and atoms, written as extended XYZ:
```
4
Lattice="2.8151 -4.3088 0.0000 2.8151 4.3088 0.0000 0.0000 0.0000 4.8435" Properties=species:S:1:pos:R:3 pbc="T T T"
Hg 0.0000 0.0000 0.0000
Hg 1.4075 2.1544 2.4218
Hg 1.4075 -2.1544 2.4218
Cl 2.8151 0.0000 0.0000
```

=====

Record 8
Crystalline Hg3Cl at its relaxed geometry. Source: Alexandria, functional GGA-PBE.

Values from the calculation:
Spin magnetization: 0.0 μB per cell
Symmetry: No. 63
Offset from the most stable computed form: 44 meV/atom
Energy relative to the elements, uncorrected: -170 meV per atom
DOS(E_F): 0.190 states/eV per atom

Cell and atoms, written as extended XYZ:
```
8
Lattice="4.2632 -6.3797 0.0000 4.2632 6.3797 0.0000 0.0000 0.0000 4.1556" Properties=species:S:1:pos:R:3 pbc="T T T"
Hg 4.2632 4.7923 3.1167
Hg 2.1229 1.5659 3.1167
Hg 2.1229 -1.5659 1.0389
Hg 6.4036 1.5659 3.1167
Hg 6.4036 -1.5659 1.0389
Hg 4.2632 -4.7923 1.0389
Cl 4.2632 1.6791 1.0389
Cl 4.2632 -1.6791 3.1167
```